Entry 1:
Density functional theory data (PBE-GGA) for an optimized crystal structure of NdSm7Dy4.

Cell and atoms, written as CIF:
```
data_NdSm7Dy4
_cell_length_a 16.123
_cell_length_b 5.973
_cell_length_c 9.402
_cell_angle_alpha 90.00
_cell_angle_beta 116.39
_cell_angle_gamma 90.00
_space_group_name_H-M_alt 'C 1 2/m 1'
_space_group_IT_number 12
_space_group_name_Hall '-C 2y'
loop_
_atom_site_label
_atom_site_type_symbol
_atom_site_fract_x
_atom_site_fract_y
_atom_site_fract_z
Nd1 Nd 0.000 0.000 0.000
Sm1 Sm 0.000 0.500 0.000
Sm2 Sm 0.084 0.000 0.448
Sm3 Sm 0.211 0.000 0.235
Sm4 Sm 0.215 0.000 0.882
Dy1 Dy 0.072 0.500 0.698
Dy2 Dy 0.171 0.500 0.386
```

Values from the calculation:
ρ = 7.6 g/cm3
density of states at the Fermi level = 40.146 states/eV/cell
energy relative to the elements = 211 meV/atom
total magnetic moment = 0.0 μB per formula unit
VASP energy = -4.474 eV/atom

Entry 2:
Density functional theory data (PBE-GGA) for an optimized crystal structure of CdGaAu.

Cell and atoms, written as CIF:
```
data_CdGaAu
_cell_length_a 7.271
_cell_length_b 3.905
_cell_length_c 8.415
_cell_angle_alpha 90.00
_cell_angle_beta 90.00
_cell_angle_gamma 90.00
_space_group_name_H-M_alt 'P n m a'
_space_group_IT_number 62
_space_group_name_Hall '-P 2ac 2n'
loop_
_atom_site_label
_atom_site_type_symbol
_atom_site_fract_x
_atom_site_fract_y
_atom_site_fract_z
Cd1 Cd 0.040 0.250 0.154
Ga1 Ga 0.136 0.250 0.566
Au1 Au 0.233 0.750 0.361
```

Values from the calculation:
ρ = 10.5 g/cm3
density of states at the Fermi level = 3.068 states/eV/cell
energy relative to the elements = -175 meV/atom
total magnetic moment = 0.0 μB per formula unit
VASP energy = -2.582 eV/atom